No. 1
A geometry-optimized BaNi4Pt structure. Source: Alexandria, functional PBE.

extended XYZ file:
```
6
Lattice="0.000 3.616 3.616 3.616 0.000 3.616 3.616 3.616 0.000" Properties=species:S:1:pos:R:3 pbc="T T T"
Ba 0.000 0.000 0.000
Ni 2.730 4.502 4.502
Ni 4.502 4.502 2.730
Ni 4.502 2.730 4.502
Ni 2.730 2.730 2.730
Pt 5.424 5.424 5.424
```

Results
- crystal system = cubic
- V (Å³/cell) = 94.6
- SG = No. 216
- energy of formation from the pure elements (eV per atom) = 0.256

***

No. 2
A geometry-optimized BaNiPt structure. Source: Alexandria, functional PBE.

extended XYZ file:
```
3
Lattice="-2.654 1.457 2.992 -1.466 -0.886 -3.897 -0.902 -4.387 1.337" Properties=species:S:1:pos:R:3 pbc="T T T"
Ba 0.000 0.000 0.000
Ni -2.709 -1.518 1.364
Pt -2.313 -2.298 -0.932
```

Results
- crystal system = hexagonal
- V (Å³/cell) = 73.3
- SG = No. 187
- energy of formation from the pure elements (eV per atom) = -0.408

***

No. 3
A geometry-optimized BaNiPt2 structure. Source: Alexandria, functional PBE.

extended XYZ file:
```
4
Lattice="-1.586 -0.167 3.903 -3.858 -2.703 -1.683 1.997 -4.383 0.624" Properties=species:S:1:pos:R:3 pbc="T T T"
Ba -1.258 -1.855 1.687
Ni -2.189 -5.398 1.157
Pt -2.253 -6.201 -1.181
Pt -0.538 -4.428 -0.408
```

Results
- crystal system = monoclinic
- V (Å³/cell) = 101.6
- SG = No. 10
- energy of formation from the pure elements (eV per atom) = -0.247

***

No. 4
A geometry-optimized BaNi3Pt structure. Source: Alexandria, functional PBE.

extended XYZ file:
```
5
Lattice="4.755 0.000 0.000 0.000 4.755 0.000 0.000 0.000 4.755" Properties=species:S:1:pos:R:3 pbc="T T T"
Ni 0.000 2.378 0.000
Ni 2.378 0.000 0.000
Ni 0.000 0.000 2.378
Ba 0.000 0.000 0.000
Pt 2.378 2.378 2.378
```

Results
- crystal system = cubic
- V (Å³/cell) = 107.5
- SG = No. 221
- energy of formation from the pure elements (eV per atom) = 1.943
- energy above the most stable polymorph in this dataset (meV/atom) = 1576

***

No. 5
A geometry-optimized Ba2NiPt structure. Source: Alexandria, functional PBE.

extended XYZ file:
```
4
Lattice="6.189 -0.114 -0.089 4.505 4.245 -0.089 0.068 0.026 4.595" Properties=species:S:1:pos:R:3 pbc="T T T"
Ba 10.535 4.070 3.845
Ba 2.858 1.104 1.676
Ni 6.278 2.426 1.620
Pt 7.234 2.795 3.902
```

Results
- crystal system = orthorhombic
- V (Å³/cell) = 123.1
- SG = No. 38
- energy of formation from the pure elements (eV per atom) = -0.370

***

No. 6
A geometry-optimized Ba3NiPt structure. Source: Alexandria, functional PBE.

extended XYZ file:
```
5
Lattice="6.075 0.000 0.000 0.000 6.075 0.000 0.000 0.000 6.075" Properties=species:S:1:pos:R:3 pbc="T T T"
Ni 3.038 3.038 3.038
Ba 0.000 3.038 0.000
Ba 0.000 0.000 3.038
Ba 3.038 0.000 0.000
Pt 0.000 0.000 0.000
```

Results
- crystal system = cubic
- V (Å³/cell) = 224.2
- SG = No. 221
- energy of formation from the pure elements (eV per atom) = 0.075
- energy above the most stable polymorph in this dataset (meV/atom) = 0